# 1
Below is crystalline LiCu2Ir at its relaxed geometry, with properties calculated at the PBE-GGA level.

- Volume: 12.9 Å³ per atom
- Energy of formation from the pure elements: -19 meV per atom
- Spin magnetization: 0.00 Bohr magnetons per cell
- Excess energy over the best structure of this formula in the dataset: 71 meV/atom

Structure (POSCAR):
```
LiCu2Ir
1.0
-0.3166 -2.3490 -3.9536
2.0249 -2.9328 -2.9236
-1.6499 -3.9328 1.5215
Ir Cu Li
1 2 1
Cartesian
-0.0023 -4.6278 -2.6178 Ir
-0.0013 -0.0614 -0.0319 Cu
0.0586 -6.8520 -4.0170 Cu
0.0325 -2.2808 -1.3668 Li
```



# 2
Below is crystalline NdDy4Y3 at its relaxed geometry, with properties calculated at the PBE-GGA level.

- Volume: 33.0 Å³ per atom
- Energy of formation from the pure elements: 175 meV per atom
- Spin magnetization: 0.00 Bohr magnetons per cell
- Excess energy over the best structure of this formula in the dataset: 167 meV/atom

Structure (POSCAR):
```
NdDy4Y3
1.0
-0.3142 -1.1203 3.2645
5.0091 -4.3876 -1.0236
5.1475 10.5051 2.2607
Y Nd Dy
3 1 4
Cartesian
2.5045 -2.1938 -0.5118 Y
5.6960 -1.3497 0.0850 Y
4.1464 6.3470 4.4167 Y
-0.1571 -0.5601 1.6323 Nd
3.4713 3.1342 3.2492 Dy
6.3711 1.8631 1.2525 Dy
3.1078 0.8659 0.5962 Dy
6.7346 4.1314 3.9055 Dy
```



# 3
Below is crystalline CaNi2As2 at its relaxed geometry, with properties calculated at the PBE-GGA level.

- Volume: 16.9 Å³ per atom
- Energy of formation from the pure elements: -669 meV per atom
- Spin magnetization: 0.00 Bohr magnetons per cell

Structure (POSCAR):
```
CaNi2As2
1.0
4.1330 0.0035 0.0128
-0.2702 4.1241 0.0128
-2.0029 -2.1403 4.9392
Ni As Ca
2 2 1
Cartesian
1.9037 0.0824 2.4824 Ni
-0.0439 1.9050 2.4824 Ni
1.9982 2.1352 1.3468 As
-0.1383 -0.1478 3.6180 As
0.0000 0.0000 0.0000 Ca
```



# 4
Below is crystalline Pr3Sn7Pd4 at its relaxed geometry, with properties calculated at the PBE-GGA level.

- Volume: 23.7 Å³ per atom
- Energy of formation from the pure elements: -717 meV per atom
- Spin magnetization: 0.00 Bohr magnetons per cell

Structure (POSCAR):
```
Pr3Sn7Pd4
1.0
4.4073 0.0000 1.1118
1.5837 8.2541 3.0135
0.0306 0.1737 9.1696
Pr Sn Pd
3 7 4
Cartesian
1.7149 1.4521 2.4933 Pr
4.3067 6.9757 10.8016 Pr
0.8072 4.2139 6.0915 Pr
2.6896 6.8761 7.9207 Sn
2.6186 2.0084 8.2020 Sn
4.3329 3.4986 10.6979 Sn
3.3320 1.5517 5.3742 Sn
1.6887 4.9292 2.5970 Sn
0.0000 0.0000 0.0000 Sn
3.4030 6.4195 5.0929 Sn
3.6333 3.9338 4.1797 Pd
2.3883 4.4940 9.1152 Pd
5.2706 7.4420 6.9809 Pd
0.7510 0.9858 6.3140 Pd
```